[1]
Ac2La5Pr2 | PBE | optimized geometry

Output
Offset from the most stable computed form: 0.000 eV per atom
E_form: 0.079 eV per atom

Cell and atoms, written as CIF:
```
data_Ac2La5Pr2
_symmetry_space_group_name_H-M 'C 1 2/m 1'
_symmetry_Int_Tables_number 12
_symmetry_space_group_name_Hall '-C 2y'
_cell_length_a 18.7233
_cell_length_b 3.7267
_cell_length_c 10.3393
_cell_angle_alpha 90.00
_cell_angle_beta 103.81
_cell_angle_gamma 90.00
loop_
_atom_site_label
_atom_site_fract_x
_atom_site_fract_y
_atom_site_fract_z
Ac1 0.0144 0.0000 0.1830
La1 0.0000 0.5000 0.5000
La2 0.1609 0.0000 0.7076
La3 0.1626 0.5000 0.0279
Pr1 0.1713 0.5000 0.4041
```



[2]
Pu2UAl9 | PBE | optimized geometry

Output
E_form: -0.186 eV per atom

Cell and atoms, written as CIF:
```
data_Pu2UAl9
_symmetry_space_group_name_H-M 'R -3 m'
_symmetry_Int_Tables_number 166
_symmetry_space_group_name_Hall '-R 3 2"'
_cell_length_a 5.4966
_cell_length_b 5.4966
_cell_length_c 26.3812
_cell_angle_alpha 90.00
_cell_angle_beta 90.00
_cell_angle_gamma 120.00
loop_
_atom_site_label
_atom_site_fract_x
_atom_site_fract_y
_atom_site_fract_z
Pu1 0.0000 0.0000 0.1432
U1 0.0000 0.0000 0.0000
Al1 0.0000 0.0000 0.3345
Al2 0.0000 0.0000 0.5000
Al3 0.0053 0.5026 0.9176
```



[3]
TaNb3Mo8 | PBE | optimized geometry

Output
E_form: -0.140 eV per atom

Cell and atoms, written as CIF:
```
data_TaNb3Mo8
_symmetry_space_group_name_H-M 'C 1 2/m 1'
_symmetry_Int_Tables_number 12
_symmetry_space_group_name_Hall '-C 2y'
_cell_length_a 13.2195
_cell_length_b 4.5410
_cell_length_c 9.0418
_cell_angle_alpha 90.00
_cell_angle_beta 132.95
_cell_angle_gamma 90.00
loop_
_atom_site_label
_atom_site_fract_x
_atom_site_fract_y
_atom_site_fract_z
Ta1 0.0000 0.0000 0.0000
Nb1 0.0000 0.0000 0.5000
Nb2 0.0000 0.5000 0.2493
Mo1 0.1704 0.0000 0.4204
Mo2 0.1704 0.0000 0.9204
Mo3 0.1706 0.5000 0.1706
Mo4 0.1707 0.5000 0.6707
```